Entry 1:
An optimized crystal structure of Nd2FeOs, computed with PBE.

Calculated values
Symmetry: R-3m
Density of states at the Fermi level (states/eV per cell): 3.320
Formation enthalpy at 0 K (eV per atom): 0.840

a = 3.2979 Å, b = 3.2979 Å, c = 10.1530 Å
α = 80.65°, β = 80.65°, γ = 60.00°
Each line ends with the local moment (μB).
Atoms (fractional coordinates):
Nd (0.0926, 0.0926, 0.7222)  -0.14
Nd (0.9074, 0.9074, 0.2778)  -0.14
Os (0.5000, 0.5000, 0.5000)  -0.08
Fe (0.0000, 0.0000, 0.0000)  2.73

***

Entry 2:
An optimized crystal structure of Nd2FeOs, computed with PBE.

Calculated values
Symmetry: R3m
Density of states at the Fermi level (states/eV per cell): 3.501
Formation enthalpy at 0 K (eV per atom): -0.020

a = 4.1505 Å, b = 4.1509 Å, c = 7.4644 Å
α = 73.85°, β = 73.86°, γ = 60.00°
Each line ends with the local moment (μB).
Atoms (fractional coordinates):
Nd (0.8920, 0.6551, 0.5610)  0.03
Nd (0.7129, 0.4755, 0.0987)  0.05
Fe (0.4721, 0.2350, 0.8208)  1.56
Os (0.1334, 0.8963, 0.8369)  0.19

***

Entry 3:
An optimized crystal structure of NdFeOs, computed with PBE.

Calculated values
Symmetry: Imma
Density of states at the Fermi level (states/eV per cell): 4.553
Formation enthalpy at 0 K (eV per atom): -0.053

a = 5.4242 Å, b = 5.3906 Å, c = 5.3906 Å
α = 58.30°, β = 59.79°, γ = 59.79°
Each line ends with the local moment (μB).
Atoms (fractional coordinates):
Nd (0.8720, 0.3780, 0.3780)  -0.16
Nd (0.1280, 0.6220, 0.6220)  -0.16
Fe (0.0000, 0.0000, 0.0000)  2.44
Fe (0.5000, 0.0000, 0.0000)  2.44
Os (0.5000, 0.5000, 0.0000)  0.28
Os (0.5000, 0.0000, 0.5000)  0.28

***

Entry 4:
An optimized crystal structure of NdFeP2Os, computed with PBE.

Calculated values
Symmetry: I-4m2
Density of states at the Fermi level (states/eV per cell): 2.609
Formation enthalpy at 0 K (eV per atom): -0.826

a = 3.9550 Å, b = 3.9550 Å, c = 5.9240 Å
α = 109.50°, β = 109.50°, γ = 90.00°
Atoms (fractional coordinates):
Nd (0.0000, 0.0000, 0.0000)
Fe (0.2500, 0.7500, 0.5000)
P (0.6394, 0.6394, 0.2787)
P (0.3606, 0.3606, 0.7213)
Os (0.7500, 0.2500, 0.5000)

***

Entry 5:
An optimized crystal structure of NdFeSi2Os, computed with PBE.

Calculated values
Symmetry: I-4m2
Density of states at the Fermi level (states/eV per cell): 3.714
Formation energy from raw total energies (meV/atom): -650

a = 5.7487 Å, b = 5.7487 Å, c = 5.7487 Å
α = 138.17°, β = 138.17°, γ = 60.64°
Atoms (fractional coordinates):
Nd (0.0000, 0.0000, 0.0000)
Fe (0.2500, 0.7500, 0.5000)
Si (0.6332, 0.6332, 0.0000)
Si (0.3668, 0.3668, 0.0000)
Os (0.7500, 0.2500, 0.5000)

***

Entry 6:
An optimized crystal structure of NdFeSi3Os, computed with PBE.

Calculated values
Symmetry: Cmcm
Density of states at the Fermi level (states/eV per cell): 5.799
Formation energy from raw total energies (meV/atom): -347

a = 5.5063 Å, b = 7.3320 Å, c = 6.5377 Å
α = 124.11°, β = 90.00°, γ = 90.00°
Atoms (fractional coordinates):
Nd (0.7500, 0.2454, 0.4909)
Nd (0.2500, 0.7546, 0.5091)
Fe (0.2500, 0.0457, 0.0915)
Fe (0.7500, 0.9543, 0.9085)
Si (0.2500, 0.2383, 0.4767)
Si (0.0000, 0.2395, 0.0000)
Si (0.5000, 0.7605, 0.0000)
Si (0.5000, 0.2395, 0.0000)
Si (0.0000, 0.7605, 0.0000)
Si (0.7500, 0.7617, 0.5233)
Os (0.2500, 0.4447, 0.8893)
Os (0.7500, 0.5553, 0.1107)

***

Entry 7:
An optimized crystal structure of NdFeP2, computed with PBE.

Calculated values
Symmetry: I-4m2
Density of states at the Fermi level (states/eV per cell): 3.194
Formation enthalpy at 0 K (eV per atom): -0.808

a = 3.8995 Å, b = 3.8987 Å, c = 5.4689 Å
α = 110.88°, β = 110.88°, γ = 90.00°
Atoms (fractional coordinates):
Nd (0.2215, 0.8809, 0.2282)
Fe (0.4712, 0.6311, 0.7281)
P (0.8653, 0.5254, 0.5163)
P (0.5771, 0.2372, 0.9402)

***

Entry 8:
An optimized crystal structure of Nd2FeP, computed with PBE.

Calculated values
Symmetry: R-3m
Density of states at the Fermi level (states/eV per cell): 4.776
Formation enthalpy at 0 K (eV per atom): 0.038

a = 3.9261 Å, b = 3.9261 Å, c = 9.0945 Å
α = 77.53°, β = 77.53°, γ = 60.00°
Each line ends with the local moment (μB).
Atoms (fractional coordinates):
P (0.5000, 0.5000, 0.5000)  0.02
Nd (0.1031, 0.1031, 0.6908)  -0.21
Nd (0.8969, 0.8969, 0.3092)  -0.21
Fe (0.0000, 0.0000, 0.0000)  2.78

***

Entry 9:
An optimized crystal structure of NdFe4P12, computed with PBE.

Calculated values
Symmetry: Im-3
Density of states at the Fermi level (states/eV per cell): 9.042
Formation enthalpy at 0 K (eV per atom): -0.593

a = 6.7612 Å, b = 6.7612 Å, c = 6.7612 Å
α = 109.47°, β = 109.47°, γ = 109.47°
Atoms (fractional coordinates):
Nd (0.0000, 0.0000, 0.0000)
Fe (0.5000, 0.0000, 0.0000)
Fe (0.5000, 0.5000, 0.5000)
Fe (0.0000, 0.5000, 0.0000)
Fe (0.0000, 0.0000, 0.5000)
P (0.1517, 0.7985, 0.6468)
P (0.1517, 0.5049, 0.3532)
P (0.8483, 0.4951, 0.6468)
P (0.3532, 0.1517, 0.5049)
P (0.7985, 0.6468, 0.1517)
P (0.8483, 0.2015, 0.3532)
P (0.6468, 0.1517, 0.7985)
P (0.4951, 0.6468, 0.8483)
P (0.6468, 0.8483, 0.4951)
P (0.5049, 0.3532, 0.1517)
P (0.3532, 0.8483, 0.2015)
P (0.2015, 0.3532, 0.8483)

***

Entry 10:
An optimized crystal structure of NdFeTcP2, computed with PBE.

Calculated values
Symmetry: I-4m2
Density of states at the Fermi level (states/eV per cell): 3.012
Formation enthalpy at 0 K (eV per atom): -0.898

a = 4.0215 Å, b = 4.0215 Å, c = 5.7588 Å
α = 110.44°, β = 110.44°, γ = 90.00°
Atoms (fractional coordinates):
Nd (0.0000, 0.0000, 0.0000)
Fe (0.2500, 0.7500, 0.5000)
Tc (0.7500, 0.2500, 0.5000)
P (0.6388, 0.6388, 0.2775)
P (0.3612, 0.3612, 0.7225)

***

Entry 11:
An optimized crystal structure of NdPaFe10, computed with PBE.

Calculated values
Symmetry: Pmmm
Density of states at the Fermi level (states/eV per cell): 13.054
Formation enthalpy at 0 K (eV per atom): -0.016

a = 4.0138 Å, b = 5.0133 Å, c = 8.6691 Å
α = 90.00°, β = 90.00°, γ = 90.00°
Each line ends with the local moment (μB).
Atoms (fractional coordinates):
Nd (0.0000, 0.0000, 0.0000)  -0.27
Pa (0.0000, 0.5000, 0.5000)  -0.77
Fe (0.0000, 0.0000, 0.3399)  2.08
Fe (0.0000, 0.5000, 0.8253)  2.18
Fe (0.0000, 0.5000, 0.1747)  2.18
Fe (0.0000, 0.0000, 0.6601)  2.08
Fe (0.5000, 0.0000, 0.5000)  2.02
Fe (0.5000, 0.5000, 0.0000)  2.31
Fe (0.5000, 0.2520, 0.2543)  2.17
Fe (0.5000, 0.7480, 0.7457)  2.17
Fe (0.5000, 0.7480, 0.2543)  2.17
Fe (0.5000, 0.2520, 0.7457)  2.17

***

Entry 12:
An optimized crystal structure of NdPaFe2, computed with PBE.

Calculated values
Symmetry: P4/mmm
Density of states at the Fermi level (states/eV per cell): 4.108
Formation enthalpy at 0 K (eV per atom): 0.020

a = 3.3095 Å, b = 3.3095 Å, c = 7.0379 Å
α = 90.00°, β = 90.00°, γ = 90.00°
Each line ends with the local moment (μB).
Atoms (fractional coordinates):
Pa (0.5000, 0.5000, 0.0000)  -0.45
Nd (0.5000, 0.5000, 0.5000)  -0.13
Fe (0.0000, 0.0000, 0.8083)  0.73
Fe (0.0000, 0.0000, 0.1917)  0.73

***

Entry 13:
An optimized crystal structure of NdPaFe2, computed with PBE.

Calculated values
Symmetry: R-3m
Density of states at the Fermi level (states/eV per cell): 4.505
Formation enthalpy at 0 K (eV per atom): 0.234

a = 3.5206 Å, b = 3.5206 Å, c = 7.8013 Å
α = 76.96°, β = 76.96°, γ = 60.00°
Each line ends with the local moment (μB).
Atoms (fractional coordinates):
Pa (0.0000, 0.0000, 0.0000)  -0.54
Nd (0.5000, 0.5000, 0.5000)  -0.07
Fe (0.7385, 0.7385, 0.7845)  1.10
Fe (0.2615, 0.2615, 0.2155)  1.10

***

Entry 14:
An optimized crystal structure of NdPaFe4, computed with PBE.

Calculated values
Symmetry: F-43m
Density of states at the Fermi level (states/eV per cell): 8.392
Formation enthalpy at 0 K (eV per atom): 0.012

a = 5.1558 Å, b = 5.1558 Å, c = 5.1558 Å
α = 60.00°, β = 60.00°, γ = 60.00°
Each line ends with the local moment (μB).
Atoms (fractional coordinates):
Pa (0.0000, 0.0000, 0.0000)  -1.00
Nd (0.2500, 0.2500, 0.2500)  -0.28
Fe (0.6261, 0.6261, 0.1217)  1.97
Fe (0.6261, 0.1217, 0.6261)  1.97
Fe (0.6261, 0.6261, 0.6261)  1.97
Fe (0.1217, 0.6261, 0.6261)  1.97

***

Entry 15:
An optimized crystal structure of NdPaFeTc, computed with PBE.

Calculated values
Symmetry: F-43m
Density of states at the Fermi level (states/eV per cell): 4.988
Formation enthalpy at 0 K (eV per atom): 0.164

a = 4.8812 Å, b = 4.8812 Å, c = 4.8812 Å
α = 60.00°, β = 60.00°, γ = 60.00°
Each line ends with the local moment (μB).
Atoms (fractional coordinates):
Pa (0.0000, 0.0000, 0.0000)  -0.46
Nd (0.5000, 0.5000, 0.5000)  -0.10
Tc (0.2500, 0.2500, 0.2500)  0.22
Fe (0.7500, 0.7500, 0.7500)  1.74

***

Entry 16:
An optimized crystal structure of Nd6Fe13Pb, computed with PBE.

Calculated values
Symmetry: I4/mcm
Density of states at the Fermi level (states/eV per cell): 39.723
Formation enthalpy at 0 K (eV per atom): -0.069

a = 8.0562 Å, b = 8.0562 Å, c = 13.1255 Å
α = 107.87°, β = 107.87°, γ = 90.00°
Each line ends with the local moment (μB).
Atoms (fractional coordinates):
Nd (0.6034, 0.6034, 0.2067)  -0.29
Nd (0.1034, 0.1034, 0.2067)  -0.29
Nd (0.3966, 0.3966, 0.7933)  -0.29
Nd (0.8966, 0.8966, 0.7933)  -0.29
Nd (0.9802, 0.4802, 0.6338)  -0.29
Nd (0.6536, 0.1536, 0.6338)  -0.29
Nd (0.1536, 0.9802, 0.6338)  -0.29
Nd (0.4802, 0.6536, 0.6338)  -0.29
Nd (0.0198, 0.5198, 0.3662)  -0.29
Nd (0.3464, 0.8464, 0.3662)  -0.29
Nd (0.8464, 0.0198, 0.3662)  -0.29
Nd (0.5198, 0.3464, 0.3662)  -0.29
Fe (0.0000, 0.5000, 0.0000)  2.00
Fe (0.5000, 0.0000, 0.0000)  2.00
Fe (0.7097, 0.5665, 0.0000)  2.30
Fe (0.2903, 0.4335, 0.0000)  2.30
Fe (0.7903, 0.0665, 0.0000)  2.30
Fe (0.2097, 0.9335, 0.0000)  2.30
Fe (0.5665, 0.2903, 0.0000)  2.30
Fe (0.4335, 0.7097, 0.0000)  2.30
Fe (0.0665, 0.2097, 0.0000)  2.30
Fe (0.9335, 0.7903, 0.0000)  2.30
Fe (0.1210, 0.6210, 0.8841)  2.23
Fe (0.7631, 0.2631, 0.8841)  2.23
Fe (0.2631, 0.1210, 0.8841)  2.23
Fe (0.6210, 0.7631, 0.8841)  2.23
Fe (0.8790, 0.3790, 0.1159)  2.23
Fe (0.2369, 0.7369, 0.1159)  2.23
Fe (0.7369, 0.8790, 0.1159)  2.23
Fe (0.3790, 0.2369, 0.1159)  2.23
Fe (0.2940, 0.7940, 0.8150)  2.37
Fe (0.5210, 0.0210, 0.8150)  2.37
Fe (0.0210, 0.2940, 0.8150)  2.37
Fe (0.7940, 0.5210, 0.8150)  2.37
Fe (0.7060, 0.2060, 0.1850)  2.37
Fe (0.4790, 0.9790, 0.1850)  2.37
Fe (0.9790, 0.7060, 0.1850)  2.37
Fe (0.2060, 0.4790, 0.1850)  2.37
Pb (0.2500, 0.2500, 0.5000)  0.01
Pb (0.7500, 0.7500, 0.5000)  0.01

***

Entry 17:
An optimized crystal structure of Nd6Fe2Pb, computed with PBE.

Calculated values
Symmetry: Immm
Density of states at the Fermi level (states/eV per cell): 14.930
Formation enthalpy at 0 K (eV per atom): -0.074

a = 8.7206 Å, b = 8.7206 Å, c = 8.7207 Å
α = 107.62°, β = 112.05°, γ = 108.78°
Each line ends with the local moment (μB).
Atoms (fractional coordinates):
Nd (0.5328, 0.8159, 0.7169)  -0.07
Nd (0.4672, 0.1841, 0.2831)  -0.07
Nd (0.0991, 0.8159, 0.2831)  -0.07
Nd (0.9009, 0.1841, 0.7169)  -0.07
Nd (0.7895, 0.0244, 0.2349)  0.01
Nd (0.2105, 0.9756, 0.7651)  0.01
Nd (0.2105, 0.4454, 0.2349)  0.01
Nd (0.7895, 0.5546, 0.7651)  0.01
Nd (0.6858, 0.3280, 0.0137)  0.02
Nd (0.3142, 0.6720, 0.9863)  0.02
Nd (0.3142, 0.3280, 0.6422)  0.02
Nd (0.6858, 0.6720, 0.3578)  0.02
Fe (0.5000, 0.1072, 0.6072)  1.62
Fe (0.5000, 0.8928, 0.3928)  1.62
Fe (0.6674, 0.6674, 0.0000)  -0.72
Fe (0.3326, 0.3326, 0.0000)  -0.72
Pb (0.0000, 0.5000, 0.5000)  0.01
Pb (0.0000, 0.0000, 0.0000)  0.00

***

Entry 18:
An optimized crystal structure of PmNd2Fe, computed with PBE.

Calculated values
Symmetry: P4/mmm
Density of states at the Fermi level (states/eV per cell): 6.040
Formation enthalpy at 0 K (eV per atom): 0.174

a = 3.5655 Å, b = 3.5655 Å, c = 8.9651 Å
α = 90.00°, β = 90.00°, γ = 90.00°
Each line ends with the local moment (μB).
Atoms (fractional coordinates):
Nd (0.0000, 0.0000, 0.8110)  -0.18
Nd (0.0000, 0.0000, 0.1890)  -0.18
Fe (0.5000, 0.5000, 0.0000)  2.20
Pm (0.5000, 0.5000, 0.5000)  0.22

***

Entry 19:
An optimized crystal structure of Pm3NdFe, computed with PBE.

Calculated values
Symmetry: Pm-3m
Density of states at the Fermi level (states/eV per cell): 9.771
Formation enthalpy at 0 K (eV per atom): 0.187

a = 5.3995 Å, b = 5.3995 Å, c = 5.3995 Å
α = 90.00°, β = 90.00°, γ = 90.00°
Each line ends with the local moment (μB).
Atoms (fractional coordinates):
Nd (0.5000, 0.5000, 0.5000)  0.20
Fe (0.0000, 0.0000, 0.0000)  0.04
Pm (0.0000, 0.5000, 0.0000)  0.07
Pm (0.0000, 0.0000, 0.5000)  0.07
Pm (0.5000, 0.0000, 0.0000)  0.07

***

Entry 20:
An optimized crystal structure of PmNdZnFe, computed with PBE.

Calculated values
Symmetry: F-43m
Density of states at the Fermi level (states/eV per cell): 5.316
Formation enthalpy at 0 K (eV per atom): 0.013

a = 5.0744 Å, b = 5.0744 Å, c = 5.0744 Å
α = 60.00°, β = 60.00°, γ = 60.00°
Each line ends with the local moment (μB).
Atoms (fractional coordinates):
Zn (0.0000, 0.0000, 0.0000)  -0.01
Nd (0.7500, 0.7500, 0.7500)  -0.20
Fe (0.5000, 0.5000, 0.5000)  2.20
Pm (0.2500, 0.2500, 0.2500)  -0.22

***

Entry 21:
An optimized crystal structure of PrNdFe4, computed with PBE.

Calculated values
Symmetry: F-43m
Density of states at the Fermi level (states/eV per cell): 7.571
Formation enthalpy at 0 K (eV per atom): 0.098

a = 5.2750 Å, b = 5.2750 Å, c = 5.2750 Å
α = 60.00°, β = 60.00°, γ = 60.00°
Each line ends with the local moment (μB).
Atoms (fractional coordinates):
Pr (0.2500, 0.2500, 0.2500)  -0.35
Nd (0.0000, 0.0000, 0.0000)  -0.35
Fe (0.6251, 0.6251, 0.1247)  2.26
Fe (0.6251, 0.1247, 0.6251)  2.26
Fe (0.6251, 0.6251, 0.6251)  2.26
Fe (0.1247, 0.6251, 0.6251)  2.26

***

Entry 22:
An optimized crystal structure of PrNdFe, computed with PBE.

Calculated values
Symmetry: Cmce
Density of states at the Fermi level (states/eV per cell): 17.541
Formation enthalpy at 0 K (eV per atom): 0.173

a = 7.1665 Å, b = 7.1001 Å, c = 7.6305 Å
α = 90.00°, β = 90.00°, γ = 120.31°
Each line ends with the local moment (μB).
Atoms (fractional coordinates):
Fe (0.5902, 0.1804, 0.5448)  1.63
Fe (0.9098, 0.8196, 0.0448)  1.63
Fe (0.4098, 0.8196, 0.4552)  1.63
Fe (0.0902, 0.1804, 0.9552)  1.63
Nd (0.2925, 0.0850, 0.2500)  -0.18
Nd (0.2075, 0.9150, 0.7500)  -0.18
Nd (0.7075, 0.9150, 0.7500)  -0.18
Nd (0.7925, 0.0850, 0.2500)  -0.18
Pr (0.8007, 0.6015, 0.3895)  -0.12
Pr (0.6993, 0.3985, 0.8895)  -0.12
Pr (0.1993, 0.3985, 0.6105)  -0.12
Pr (0.3007, 0.6015, 0.1105)  -0.12

***

Entry 23:
An optimized crystal structure of Pr3NdFe, computed with PBE.

Calculated values
Symmetry: Pm-3m
Density of states at the Fermi level (states/eV per cell): 10.309
Formation enthalpy at 0 K (eV per atom): 0.220

a = 5.4613 Å, b = 5.4613 Å, c = 5.4613 Å
α = 90.00°, β = 90.00°, γ = 90.00°
Each line ends with the local moment (μB).
Atoms (fractional coordinates):
Pr (0.0000, 0.5000, 0.0000)  0.04
Pr (0.0000, 0.0000, 0.5000)  0.04
Pr (0.5000, 0.0000, 0.0000)  0.04
Nd (0.5000, 0.5000, 0.5000)  0.14
Fe (0.0000, 0.0000, 0.0000)  0.19

***

Entry 24:
An optimized crystal structure of Nd2FeSi4Pt3, computed with PBE.

Calculated values
Symmetry: P-4m2
Density of states at the Fermi level (states/eV per cell): 3.745
Formation energy from raw total energies (meV/atom): -989

a = 4.1751 Å, b = 4.1751 Å, c = 10.0014 Å
α = 90.00°, β = 90.00°, γ = 90.00°
Atoms (fractional coordinates):
Nd (0.5000, 0.0000, 0.2488)
Nd (0.0000, 0.5000, 0.7512)
Fe (0.5000, 0.5000, 0.5000)
Si (0.5000, 0.5000, 0.0000)
Si (0.0000, 0.0000, 0.0000)
Si (0.5000, 0.0000, 0.6254)
Si (0.0000, 0.5000, 0.3746)
Pt (0.0000, 0.0000, 0.5000)
Pt (0.5000, 0.0000, 0.8733)
Pt (0.0000, 0.5000, 0.1267)